1.
This record from the Alexandria database describes a relaxed Ce2Zn4Cd3 crystal. The functional is PBE-GGA.

a b c (Å): 5.978 16.509 7.867
angles (deg): 90.00 90.00 90.00
Space group Cmce (No. 64)
Unique sites:
Ce (0.000, 0.095, 0.106) [8 per cell]
Zn (0.000, 0.167, 0.486) [8 per cell]
Zn (0.250, 0.070, 0.750) [8 per cell]
Cd (0.000, 0.000, 0.500) [4 per cell]
Cd (0.250, 0.237, 0.750) [8 per cell]

The value obtained for the total magnetic moment is 8.039 μB per cell. The formation energy is -14 kJ per mole of atoms. For the calculated total energy, the calculation gives -2.3395 eV per atom. For the density, the calculation gives 7.52 Mg/m³.


2.
This record from the Alexandria database describes a relaxed CrSeS2 crystal. The functional is PBE-GGA.

a b c (Å): 3.3536 3.3536 23.3046
angles (deg): 90.00 90.00 120.00
Space group R-3m (No. 166, hexagonal axes)
Unique sites:
Cr (0.0000, 0.0000, 0.0000) [3 per cell]
Se (0.0000, 0.0000, 0.5000) [3 per cell]
S (0.0000, 0.0000, 0.0903) [6 per cell]

The value obtained for the total magnetic moment is 0.001 μB per cell. The value obtained for the raw formation energy is 0.764 eV/atom. For the calculated total energy, the calculation gives -4.5768 eV per atom. For the density, the calculation gives 4.28 Mg/m³.